Record 1
## TbDy2Pu (PBE-GGA)

Data for a relaxed structure of TbDy2Pu.

a b c (Å): 5.583 5.583 5.583
angles (deg): 60.00 60.00 60.00
Sites, in units of the cell vectors:
Tb 0.500 0.500 0.500
Pu 0.000 0.000 0.000
Dy 0.750 0.750 0.750
Dy 0.250 0.250 0.250

Calculated values
The calculation puts the total DFT energy (no corrections) at -6.8428 eV per atom. Its total magnetization is 7.11 μB per cell. Its density of states at the Fermi level is 10.6 states/eV per cell.

Record 2
## Tb5Dy12Pu (PBE-GGA)

Data for a relaxed structure of Tb5Dy12Pu.

a b c (Å): 6.152 6.150 17.302
angles (deg): 86.61 83.21 59.99
Sites, in units of the cell vectors:
Tb 0.833 0.333 0.500
Tb 0.167 0.667 0.500
Tb 0.333 0.333 0.000
Tb 0.667 0.667 0.000
Tb 0.500 0.000 0.500
Dy 0.274 0.000 0.165
Dy 0.384 0.671 0.836
Dy 0.616 0.329 0.164
Dy 0.777 0.667 0.669
Dy 0.726 0.000 0.835
Dy 0.945 0.671 0.164
Dy 0.556 0.667 0.331
Dy 0.223 0.333 0.331
Dy 0.111 0.000 0.668
Dy 0.889 0.000 0.332
Dy 0.444 0.333 0.669
Dy 0.055 0.329 0.836
Pu 0.000 0.000 0.000

Calculated values
The calculation puts the total DFT energy (no corrections) at -5.1276 eV per atom. Its total magnetization is 6.10 μB per cell. Its density of states at the Fermi level is 28.3 states/eV per cell.

Record 3
## Tb3Dy3Pu (PBE-GGA)

Data for a relaxed structure of Tb3Dy3Pu.

a b c (Å): 6.141 6.141 14.460
angles (deg): 77.74 77.74 60.00
Sites, in units of the cell vectors:
Dy 0.603 0.936 0.193
Dy 0.397 0.064 0.807
Dy 0.064 0.732 0.807
Dy 0.936 0.268 0.193
Dy 0.268 0.603 0.193
Dy 0.732 0.397 0.807
Pu 0.333 0.333 0.000
Pu 0.667 0.667 0.000
Tb 0.200 0.868 0.397
Tb 0.536 0.200 0.397
Tb 0.132 0.464 0.603
Tb 0.868 0.536 0.397
Tb 0.464 0.800 0.603
Tb 0.800 0.132 0.603

Calculated values
The calculation puts the total DFT energy (no corrections) at -5.8104 eV per atom. Its total magnetization is 12.11 μB per cell. Its density of states at the Fermi level is 33.2 states/eV per cell.

Record 4
## Tb12Dy5Pu (PBE-GGA)

Data for a relaxed structure of Tb12Dy5Pu.

a b c (Å): 10.642 10.624 6.138
angles (deg): 106.59 90.00 59.95
Sites, in units of the cell vectors:
Tb 0.836 0.000 0.500
Tb 0.501 0.666 0.499
Tb 0.167 0.334 0.501
Tb 0.000 0.331 0.000
Tb 0.669 0.331 0.000
Tb 0.331 0.669 0.000
Tb 0.833 0.666 0.499
Tb 0.331 0.000 0.000
Tb 0.669 0.000 0.000
Tb 0.164 0.000 0.500
Tb 0.499 0.334 0.501
Tb 0.000 0.669 0.000
Dy 0.835 0.331 0.495
Dy 0.333 0.334 0.001
Dy 0.500 0.000 0.500
Dy 0.667 0.666 0.999
Dy 0.165 0.669 0.505
Pu 0.000 0.000 0.000

Calculated values
The calculation puts the total DFT energy (no corrections) at -5.1305 eV per atom. Its total magnetization is 6.44 μB per cell. Its density of states at the Fermi level is 27.3 states/eV per cell.

Number 1: formation energy from the elements 0.199 eV/atom. Number 2: formation energy from the elements 0.023 eV/atom. Number 3: formation energy from the elements 0.194 eV/atom. Number 4: formation energy from the elements 0.031 eV/atom.